Record 1
The following is a PBE calculation of crystalline CsMg6GaO8 at its relaxed geometry, from the Alexandria database.

Output
Electronic total energy = -82.6 eV for the cell shown
Raw formation energy = -1842.9 meV/atom
ρ = 4.072 g cm⁻³
Space-group type = P4/mmm, No. 123

abc: 4.5681 4.5681 9.3106
angles: 90.00 90.00 90.00
Last column: nearest neighbours and their distance in Å.
Sites, in units of the cell vectors:
Cs 0.0000 0.0000 0.0000  4 O 2.28
Mg 0.0000 0.0000 0.5000  2 O 1.96
Mg 0.0000 0.5000 0.2777  5 O 2.07-2.29
Mg 0.0000 0.5000 0.7223  5 O 2.07-2.29
Mg 0.5000 0.0000 0.2777  5 O 2.07-2.29
Mg 0.5000 0.0000 0.7223  5 O 2.07-2.29
Mg 0.5000 0.5000 0.5000  6 O 2.18-2.28
Ga 0.5000 0.5000 0.0000  6 O 2.28-2.48
O 0.0000 0.0000 0.2897  1 Mg 1.96
O 0.0000 0.0000 0.7103  1 Mg 1.96
O 0.0000 0.5000 0.0000  2 Cs 2.28, 2 Ga 2.28
O 0.0000 0.5000 0.5000  6 Mg 2.07-2.28
O 0.5000 0.0000 0.0000  2 Cs 2.28, 2 Ga 2.28
O 0.5000 0.0000 0.5000  6 Mg 2.07-2.28
O 0.5000 0.5000 0.2662  5 Mg 2.18-2.29
O 0.5000 0.5000 0.7338  5 Mg 2.18-2.29

***

Record 2
The following is a PBE calculation of crystalline CsMg2GaRh at its relaxed geometry, from the Alexandria database.

Output
Electronic total energy = -15.4 eV for the cell shown
DFT formation energy = -0.190 eV per atom
ρ = 4.323 g cm⁻³
Space-group type = P4/mmm, No. 123

abc: 5.2656 5.2656 4.9057
angles: 90.00 90.00 90.00
Last column: nearest neighbours and their distance in Å.
Sites, in units of the cell vectors:
Cs 0.0000 0.0000 0.0000  8 Mg 3.60, 4 Ga 3.72
Mg 0.0000 0.5000 0.5000  2 Rh 2.63
Mg 0.5000 0.0000 0.5000  2 Rh 2.63
Ga 0.5000 0.5000 0.0000  2 Rh 2.45
Rh 0.5000 0.5000 0.5000  2 Ga 2.45, 4 Mg 2.63

***

Record 3
The following is a PBE calculation of crystalline CsMgGaRh2 at its relaxed geometry, from the Alexandria database.

Output
Electronic total energy = -16.6 eV for the cell shown
DFT formation energy = 0.717 eV per atom
ρ = 5.451 g cm⁻³
Space-group type = P4/mmm, No. 123

abc: 4.7911 4.7911 5.7430
angles: 90.00 90.00 90.00
Last column: nearest neighbours and their distance in Å.
Sites, in units of the cell vectors:
Cs 0.0000 0.0000 0.0000  2 Ga 2.87
Mg 0.5000 0.5000 0.0000  4 Cs 3.39, 8 Rh 3.74
Ga 0.0000 0.0000 0.5000  4 Rh 2.40
Rh 0.0000 0.5000 0.5000  2 Ga 2.40
Rh 0.5000 0.0000 0.5000  2 Ga 2.40

***

Record 4
The following is a PBE calculation of crystalline CsMgGa2Rh at its relaxed geometry, from the Alexandria database.

Output
Electronic total energy = -17.2 eV for the cell shown
DFT formation energy = -0.260 eV per atom
ρ = 5.185 g cm⁻³
Space-group type = P4/mmm, No. 123

abc: 4.9466 4.9466 5.2295
angles: 90.00 90.00 90.00
Last column: nearest neighbours and their distance in Å.
Sites, in units of the cell vectors:
Cs 0.0000 0.0000 0.0000  4 Mg 3.50, 8 Ga 3.60
Mg 0.5000 0.5000 0.0000  2 Rh 2.61
Ga 0.0000 0.5000 0.5000  2 Rh 2.47
Ga 0.5000 0.0000 0.5000  2 Rh 2.47
Rh 0.5000 0.5000 0.5000  4 Ga 2.47, 2 Mg 2.61

***

Record 5
The following is a PBE calculation of crystalline CsMgGa2Ru at its relaxed geometry, from the Alexandria database.

Output
Electronic total energy = -18.3 eV for the cell shown
DFT formation energy = -0.106 eV per atom
ρ = 5.044 g cm⁻³
Space-group type = P4/mmm, No. 123

abc: 4.9777 4.9777 5.2842
angles: 90.00 90.00 90.00
Last column: nearest neighbours and their distance in Å.
Sites, in units of the cell vectors:
Cs 0.0000 0.0000 0.0000  4 Mg 3.52, 8 Ga 3.63
Mg 0.5000 0.5000 0.0000  2 Ru 2.64
Ga 0.0000 0.5000 0.5000  2 Ru 2.49
Ga 0.5000 0.0000 0.5000  2 Ru 2.49
Ru 0.5000 0.5000 0.5000  4 Ga 2.49, 2 Mg 2.64

***

Record 6
The following is a PBE calculation of crystalline CsMg2GaRu at its relaxed geometry, from the Alexandria database.

Output
Electronic total energy = -16.0 eV for the cell shown
DFT formation energy = 0.067 eV per atom
ρ = 4.269 g cm⁻³
Space-group type = P4/mmm, No. 123

abc: 5.2609 5.2609 4.9519
angles: 90.00 90.00 90.00
Last column: nearest neighbours and their distance in Å.
Sites, in units of the cell vectors:
Cs 0.0000 0.0000 0.0000  8 Mg 3.61, 4 Ga 3.72
Mg 0.0000 0.5000 0.5000  2 Ru 2.63
Mg 0.5000 0.0000 0.5000  2 Ru 2.63
Ga 0.5000 0.5000 0.0000  2 Ru 2.48
Ru 0.5000 0.5000 0.5000  2 Ga 2.48, 4 Mg 2.63

***

Record 7
The following is a PBE calculation of crystalline CsMgGaSb2 at its relaxed geometry, from the Alexandria database.

Output
Electronic total energy = -31.5 eV for the cell shown
Raw formation energy = -401.7 meV/atom
ρ = 4.576 g cm⁻³
Space-group type = I-4m2, No. 119

abc: 4.5513 4.5513 16.4841
angles: 90.00 90.00 90.00
Last column: nearest neighbours and their distance in Å.
Sites, in units of the cell vectors:
Cs 0.0000 0.0000 0.0000  8 Sb 4.02
Cs 0.5000 0.5000 0.5000  8 Sb 4.02
Mg 0.0000 0.5000 0.2500  4 Sb 2.85
Mg 0.5000 0.0000 0.7500  4 Sb 2.85
Ga 0.0000 0.5000 0.7500  4 Sb 2.85
Ga 0.5000 0.0000 0.2500  4 Sb 2.85
Sb 0.0000 0.0000 0.3543  2 Mg 2.85, 2 Ga 2.85
Sb 0.0000 0.0000 0.6457  2 Mg 2.85, 2 Ga 2.85
Sb 0.5000 0.5000 0.1457  2 Mg 2.85, 2 Ga 2.85
Sb 0.5000 0.5000 0.8543  2 Mg 2.85, 2 Ga 2.85

***

Record 8
The following is a PBE calculation of crystalline Cs2MgGaSb2 at its relaxed geometry, from the Alexandria database.

Output
Electronic total energy = -34.5 eV for the cell shown
Raw formation energy = -442.0 meV/atom
ρ = 4.435 g cm⁻³
Space-group type = Ibam, No. 72

abc: 10.1233 10.1233 10.1233
angles: 138.48 60.23 138.39
Last column: nearest neighbours and their distance in Å.
Sites, in units of the cell vectors:
Cs 0.1699 0.2439 0.4138  5 Sb 3.82-4.27, 2 Ga 3.89, 2 Mg 3.93
Cs 0.3301 0.7439 0.0740  5 Sb 3.82-4.27, 2 Ga 3.89, 2 Mg 3.93
Cs 0.6699 0.2561 0.9260  5 Sb 3.82-4.27, 2 Ga 3.89, 2 Mg 3.93
Cs 0.8301 0.7561 0.5862  5 Sb 3.82-4.27, 2 Ga 3.89, 2 Mg 3.93
Mg 0.2500 0.7500 0.5000  4 Sb 2.96
Mg 0.7500 0.2500 0.5000  4 Sb 2.96
Ga 0.2500 0.2500 0.0000  4 Sb 2.95
Ga 0.7500 0.7500 0.0000  4 Sb 2.95
Sb 0.0863 0.7515 0.8378  2 Ga 2.95, 2 Mg 2.96
Sb 0.4137 0.2515 0.6652  2 Ga 2.95, 2 Mg 2.96
Sb 0.5863 0.7485 0.3348  2 Ga 2.95, 2 Mg 2.96
Sb 0.9137 0.2485 0.1622  2 Ga 2.95, 2 Mg 2.96

***

Record 9
The following is a PBE calculation of crystalline Cs2MgGa3Sn4 at its relaxed geometry, from the Alexandria database.

Output
Electronic total energy = -29.8 eV for the cell shown
DFT formation energy = -0.143 eV per atom
ρ = 5.377 g cm⁻³
Space-group type = P-4m2, No. 115

abc: 5.0731 5.0731 11.6890
angles: 90.00 90.00 90.00
Last column: nearest neighbours and their distance in Å.
Sites, in units of the cell vectors:
Cs 0.0000 0.5000 0.2491  8 Sn 3.84-3.88, 2 Mg 3.86, 6 Ga 3.86-3.87
Cs 0.5000 0.0000 0.7509  8 Sn 3.84-3.88, 2 Mg 3.86, 6 Ga 3.86-3.87
Mg 0.5000 0.5000 0.0000  4 Sn 2.96
Ga 0.0000 0.0000 0.0000  4 Sn 2.96
Ga 0.0000 0.5000 0.6274  5 Sn 2.83-2.94
Ga 0.5000 0.0000 0.3726  5 Sn 2.83-2.94
Sn 0.0000 0.0000 0.5000  4 Ga 2.94
Sn 0.0000 0.5000 0.8693  3 Ga 2.83-2.96, 2 Mg 2.96
Sn 0.5000 0.0000 0.1307  3 Ga 2.83-2.96, 2 Mg 2.96
Sn 0.5000 0.5000 0.5000  4 Ga 2.94

***

Record 10
The following is a PBE calculation of crystalline Cs2MgGaTe4 at its relaxed geometry, from the Alexandria database.

Output
Electronic total energy = -49.1 eV for the cell shown
Raw formation energy = -706.4 meV/atom
ρ = 4.548 g cm⁻³
Space-group type = I-42m, No. 121

abc: 9.1000 9.1000 7.6733
angles: 90.00 90.00 90.00
Last column: nearest neighbours and their distance in Å.
Sites, in units of the cell vectors:
Cs 0.0000 0.5000 0.0000  2 Cs 3.84, 8 Te 3.88-4.00
Cs 0.0000 0.5000 0.5000  2 Cs 3.84, 8 Te 3.88-4.00
Cs 0.5000 0.0000 0.0000  2 Cs 3.84, 8 Te 3.88-4.00
Cs 0.5000 0.0000 0.5000  2 Cs 3.84, 8 Te 3.88-4.00
Mg 0.0000 0.0000 0.0000  4 Te 2.85
Mg 0.5000 0.5000 0.5000  4 Te 2.85
Ga 0.0000 0.0000 0.5000  4 Te 2.68
Ga 0.5000 0.5000 0.0000  4 Te 2.68
Te 0.1544 0.1544 0.2661  1 Ga 2.68, 1 Mg 2.85
Te 0.1544 0.8456 0.7339  1 Ga 2.68, 1 Mg 2.85
Te 0.3456 0.3456 0.7661  1 Ga 2.68, 1 Mg 2.85
Te 0.3456 0.6544 0.2339  1 Ga 2.68, 1 Mg 2.85
Te 0.6544 0.3456 0.2339  1 Ga 2.68, 1 Mg 2.85
Te 0.6544 0.6544 0.7661  1 Ga 2.68, 1 Mg 2.85
Te 0.8456 0.1544 0.7339  1 Ga 2.68, 1 Mg 2.85
Te 0.8456 0.8456 0.2661  1 Ga 2.68, 1 Mg 2.85